1.
Below is crystalline LaErMgZn at its relaxed geometry, with properties calculated at the GGA-PBE level.

- V: 105.7 Å³/f.u.
- Energy above the lowest structure with this stoichiometry: 0.89 kcal/mol of atoms
- E_form: -0.17 eV/atom

abc: 5.3071 5.3071 5.3071
angles: 60.00 60.00 60.00
Closest atoms and distances in Å follow each position.
Fractional coordinates of all 4 atoms:
Mg (0.5000, 0.5000, 0.5000)  4 Er 3.25, 4 La 3.25
Zn (0.0000, 0.0000, 0.0000)  4 Er 3.25, 4 La 3.25
Er (0.2500, 0.2500, 0.2500)  4 Mg 3.25, 4 Zn 3.25
La (0.7500, 0.7500, 0.7500)  4 Mg 3.25, 4 Zn 3.25

=====

2.
Below is crystalline KMo2Cl at its relaxed geometry, with properties calculated at the GGA-PBE level.

- V: 89.9 Å³/f.u.
- Energy above the lowest structure with this stoichiometry: 1.44 kcal/mol of atoms

abc: 3.3675 3.3675 9.6637
angles: 76.21 76.21 58.57
Closest atoms and distances in Å follow each position.
Fractional coordinates of all 4 atoms:
Mo (0.0495, 0.0495, 0.9313)  3 Mo 2.47-2.49
Mo (0.7991, 0.7991, 0.7636)  3 Mo 2.47-2.49, 2 Cl 2.76
K (0.2168, 0.2168, 0.2798)  3 Cl 2.99, 2 K 3.29
Cl (0.4345, 0.4345, 0.5253)  2 Mo 2.76, 3 K 2.99

=====

3.
Below is crystalline LaHfS3 at its relaxed geometry, with properties calculated at the GGA-PBE level.

- V: 110.1 Å³/f.u.
- Energy above the lowest structure with this stoichiometry: 2.04 kcal/mol of atoms

abc: 5.1337 5.2978 16.1879
angles: 90.00 90.00 90.00
Closest atoms and distances in Å follow each position.
Fractional coordinates of all 20 atoms:
La (0.5000, 0.0000, 0.5000)  8 S 2.99-3.07
La (0.5000, 0.0000, 0.0000)  8 S 2.99-3.07
La (0.0000, 0.5000, 0.0000)  8 S 2.99-3.07
La (0.0000, 0.5000, 0.5000)  8 S 2.99-3.07
Hf (0.5013, 0.5410, 0.2500)  6 S 2.51-2.79
Hf (0.0013, 0.9590, 0.2500)  6 S 2.51-2.79
Hf (0.9987, 0.0410, 0.7500)  6 S 2.51-2.79
Hf (0.4987, 0.4590, 0.7500)  6 S 2.51-2.79
S (0.5009, 0.0146, 0.2500)  4 Hf 2.51-2.79
S (0.4991, 0.9854, 0.7500)  4 Hf 2.51-2.79
S (0.0009, 0.4854, 0.2500)  4 Hf 2.51-2.79
S (0.9991, 0.5146, 0.7500)  4 Hf 2.51-2.79
S (0.4999, 0.5030, 0.9056)  1 Hf 2.53
S (0.5001, 0.4970, 0.0944)  1 Hf 2.53
S (0.0001, 0.0030, 0.4056)  1 Hf 2.53
S (0.5001, 0.4970, 0.4056)  1 Hf 2.53
S (0.4999, 0.5030, 0.5944)  1 Hf 2.53
S (0.9999, 0.9970, 0.9056)  1 Hf 2.53
S (0.0001, 0.0030, 0.0944)  1 Hf 2.53
S (0.9999, 0.9970, 0.5944)  1 Hf 2.53

=====

4.
Below is crystalline Hf3CuIr at its relaxed geometry, with properties calculated at the GGA-PBE level.

- V: 125.0 Å³/f.u.
- Energy above the lowest structure with this stoichiometry: 19.67 kcal/mol of atoms
- E_form: 0.46 eV/atom

abc: 5.0004 5.0004 5.0004
angles: 90.00 90.00 90.00
Closest atoms and distances in Å follow each position.
Fractional coordinates of all 5 atoms:
Hf (0.0000, 0.5000, 0.0000)  2 Ir 2.50
Hf (0.5000, 0.0000, 0.0000)  2 Ir 2.50
Hf (0.0000, 0.0000, 0.5000)  2 Ir 2.50
Cu (0.5000, 0.5000, 0.5000)  12 Hf 3.54
Ir (0.0000, 0.0000, 0.0000)  6 Hf 2.50

=====

5.
Below is crystalline Li2AcYAu4 at its relaxed geometry, with properties calculated at the GGA-PBE level.

- V: 178.9 Å³/f.u.
- E_form: -0.72 eV/atom

abc: 4.6100 4.6100 10.0770
angles: 76.78 76.78 60.00
Closest atoms and distances in Å follow each position.
Fractional coordinates of all 8 atoms:
Li (0.2411, 0.2411, 0.2768)  6 Au 2.74-2.79
Li (0.7589, 0.7589, 0.7232)  6 Au 2.74-2.79
Au (0.6028, 0.6028, 0.1918)  3 Li 2.79, 1 Y 3.00, 3 Au 3.05
Au (0.8853, 0.8853, 0.3441)  3 Li 2.74, 3 Au 3.05, 3 Y 3.06
Au (0.1147, 0.1147, 0.6559)  3 Li 2.74, 3 Au 3.05, 3 Y 3.06
Au (0.3972, 0.3972, 0.8082)  3 Li 2.79, 1 Y 3.00, 3 Au 3.05
Ac (0.0000, 0.0000, 0.0000)  8 Au 3.25-3.34
Y (0.5000, 0.5000, 0.5000)  8 Au 3.00-3.06

=====

6.
Below is crystalline GdIn2As at its relaxed geometry, with properties calculated at the GGA-PBE level.

- V: 120.1 Å³/f.u.
- E_form: 0.14 eV/atom

abc: 3.6968 3.6968 10.3717
angles: 79.73 79.73 60.00
Closest atoms and distances in Å follow each position.
Fractional coordinates of all 4 atoms:
Gd (0.0000, 0.0000, 0.0000)  2 In 3.19
In (0.1047, 0.1047, 0.6860)  3 As 2.85, 1 Gd 3.19
In (0.8953, 0.8953, 0.3140)  3 As 2.85, 1 Gd 3.19
As (0.5000, 0.5000, 0.5000)  6 In 2.85

=====

7.
Below is crystalline HoCuAs at its relaxed geometry, with properties calculated at the GGA-PBE level.

- V: 66.0 Å³/f.u.
- E_form: -0.50 eV/atom

abc: 4.0667 4.1149 9.5555
angles: 105.85 90.00 119.61
Closest atoms and distances in Å follow each position.
Fractional coordinates of all 6 atoms:
As (0.1903, 0.3805, 0.1703)  4 Cu 2.44-2.56
As (0.8097, 0.6195, 0.8297)  4 Cu 2.44-2.56
Cu (0.8278, 0.6555, 0.1012)  4 As 2.44-2.56
Cu (0.1722, 0.3445, 0.8988)  4 As 2.44-2.56
Ho (0.5945, 0.1889, 0.3373)  3 As 2.80-2.83
Ho (0.4055, 0.8111, 0.6627)  3 As 2.80-2.83

=====

8.
Below is crystalline Sc4FeCo3 at its relaxed geometry, with properties calculated at the GGA-PBE level.

- V: 120.6 Å³/f.u.
- E_form: -0.28 eV/atom

abc: 4.3992 4.3992 6.9632
angles: 108.36 108.41 90.00
Closest atoms and distances in Å follow each position.
Fractional coordinates of all 8 atoms:
Fe (0.5000, 0.0000, 0.0000)  8 Sc 2.69
Sc (0.6239, 0.6239, 0.2477)  2 Fe 2.69, 6 Co 2.69-2.71
Sc (0.3761, 0.3761, 0.7523)  2 Fe 2.69, 6 Co 2.69-2.71
Sc (0.1239, 0.1239, 0.2477)  6 Co 2.69-2.71, 2 Fe 2.69
Sc (0.8761, 0.8761, 0.7523)  6 Co 2.69-2.71, 2 Fe 2.69
Co (0.2503, 0.7503, 0.5007)  8 Sc 2.70-2.71
Co (0.0000, 0.5000, 0.0000)  8 Sc 2.69
Co (0.7497, 0.2497, 0.4993)  8 Sc 2.70-2.71

=====

9.
Below is crystalline Np2Pa2Te5 at its relaxed geometry, with properties calculated at the GGA-PBE level.

- V: 261.6 Å³/f.u.
- Electronic total energy: -7.374 eV per atom

abc: 8.1488 8.1892 8.8448
angles: 117.58 90.00 90.00
Closest atoms and distances in Å follow each position.
Fractional coordinates of all 18 atoms:
Te (0.6582, 0.0224, 0.7194)  3 Pa 3.17-3.20, 3 Np 3.17-3.33
Te (0.5000, 0.5000, 0.0000)  2 Pa 3.06, 4 Np 3.13-3.16
Te (0.6582, 0.3030, 0.2806)  3 Pa 3.17-3.20, 3 Np 3.17-3.33
Te (0.8418, 0.8030, 0.2806)  3 Pa 3.17-3.20, 3 Np 3.17-3.33
Te (0.3418, 0.6970, 0.7194)  3 Pa 3.17-3.20, 3 Np 3.17-3.33
Te (0.1582, 0.4776, 0.2806)  3 Pa 3.17-3.20, 3 Np 3.17-3.33
Te (0.1582, 0.1970, 0.7194)  3 Pa 3.17-3.20, 3 Np 3.17-3.33
Te (0.3418, 0.9776, 0.2806)  3 Pa 3.17-3.20, 3 Np 3.17-3.33
Te (0.0000, 0.0000, 0.0000)  2 Pa 3.06, 4 Np 3.13-3.16
Te (0.8418, 0.5224, 0.7194)  3 Pa 3.17-3.20, 3 Np 3.17-3.33
Np (0.8575, 0.3586, 0.0000)  8 Te 3.13-3.33, 1 Np 3.28
Np (0.1425, 0.6414, 0.0000)  8 Te 3.13-3.33, 1 Np 3.28
Np (0.3575, 0.1414, 0.0000)  8 Te 3.13-3.33, 1 Np 3.28
Np (0.6425, 0.8586, 0.0000)  8 Te 3.13-3.33, 1 Np 3.28
Pa (0.5000, 0.6949, 0.3897)  7 Te 3.06-3.20
Pa (0.5000, 0.3051, 0.6103)  7 Te 3.06-3.20
Pa (0.0000, 0.8051, 0.6103)  7 Te 3.06-3.20
Pa (0.0000, 0.1949, 0.3897)  7 Te 3.06-3.20

=====

10.
Below is crystalline AcRhBr at its relaxed geometry, with properties calculated at the GGA-PBE level.

- V: 97.2 Å³/f.u.
- Energy above the lowest structure with this stoichiometry: 0.00 kcal/mol of atoms

abc: 4.4626 4.4626 11.5654
angles: 78.88 78.88 60.00
Closest atoms and distances in Å follow each position.
Fractional coordinates of all 6 atoms:
Br (0.2828, 0.2828, 0.1517)  3 Ac 3.24
Br (0.7172, 0.7172, 0.8483)  3 Ac 3.24
Rh (0.8346, 0.8346, 0.4963)  3 Rh 2.58
Rh (0.1654, 0.1654, 0.5037)  3 Rh 2.58
Ac (0.4418, 0.4418, 0.6745)  6 Rh 3.22-3.27, 3 Br 3.24
Ac (0.5582, 0.5582, 0.3255)  6 Rh 3.22-3.27, 3 Br 3.24

=====

11.
Below is crystalline CaMgSi2Pd2 at its relaxed geometry, with properties calculated at the GGA-PBE level.

- V: 110.4 Å³/f.u.
- Electronic total energy: -4.808 eV per atom

abc: 4.2796 4.2796 6.9618
angles: 90.00 90.00 120.00
Closest atoms and distances in Å follow each position.
Fractional coordinates of all 6 atoms:
Si (0.3333, 0.6667, 0.2910)  4 Pd 2.48-2.70
Si (0.6667, 0.3333, 0.7090)  4 Pd 2.48-2.70
Pd (0.3333, 0.6667, 0.6786)  4 Si 2.48-2.70, 3 Mg 2.77
Pd (0.6667, 0.3333, 0.3214)  4 Si 2.48-2.70, 3 Mg 2.77
Mg (0.0000, 0.0000, 0.5000)  6 Pd 2.77, 6 Si 2.87
Ca (0.0000, 0.0000, 0.0000)  6 Si 3.20, 6 Pd 3.33, 2 Mg 3.48

=====

12.
Below is crystalline PuNp at its relaxed geometry, with properties calculated at the GGA-PBE level.

- V: 41.3 Å³/f.u.
- Energy above the lowest structure with this stoichiometry: 1.96 kcal/mol of atoms
- E_form: 0.35 eV/atom

abc: 2.8683 2.8683 5.0440
angles: 90.00 90.00 95.63
Closest atoms and distances in Å follow each position.
Fractional coordinates of all 2 atoms:
Pu (0.5000, 0.5000, 0.5000)  4 Pu 2.87, 4 Np 3.17
Np (0.0000, 0.0000, 0.0000)  4 Np 2.87, 4 Pu 3.17

=====

What did the eighth record say?
Below is crystalline Sc4FeCo3 at its relaxed geometry, with properties calculated at the GGA-PBE level.

- V: 120.6 Å³/f.u.
- E_form: -0.28 eV/atom

abc: 4.3992 4.3992 6.9632
angles: 108.36 108.41 90.00
Closest atoms and distances in Å follow each position.
Fractional coordinates of all 8 atoms:
Fe (0.5000, 0.0000, 0.0000)  8 Sc 2.69
Sc (0.6239, 0.6239, 0.2477)  2 Fe 2.69, 6 Co 2.69-2.71
Sc (0.3761, 0.3761, 0.7523)  2 Fe 2.69, 6 Co 2.69-2.71
Sc (0.1239, 0.1239, 0.2477)  6 Co 2.69-2.71, 2 Fe 2.69
Sc (0.8761, 0.8761, 0.7523)  6 Co 2.69-2.71, 2 Fe 2.69
Co (0.2503, 0.7503, 0.5007)  8 Sc 2.70-2.71
Co (0.0000, 0.5000, 0.0000)  8 Sc 2.69
Co (0.7497, 0.2497, 0.4993)  8 Sc 2.70-2.71